1.
K2CuSnI6 | PBE | relaxed Values from VASP.

```
&SYSTEM
  ibrav = 0, nat = 20, ntyp = 4
/
ATOMIC_SPECIES
I 126.90 I.upf
Sn 118.71 Sn.upf
Cu 63.55 Cu.upf
K 39.10 K.upf
ATOMIC_POSITIONS angstrom
I 3.424 8.270 8.456
I 5.660 2.381 6.206
I 4.726 0.080 3.005
I 0.700 4.095 8.751
I 1.585 1.794 0.476
I 6.398 6.712 6.176
I 7.450 4.256 2.710
I 5.827 2.536 11.014
I 2.490 5.970 5.254
I 1.752 1.639 5.284
I 6.565 6.557 10.984
I 2.323 5.815 0.446
Sn 4.051 0.000 -0.008
Sn 0.024 4.175 5.738
Cu 0.000 4.175 0.000
Cu 4.075 0.000 5.730
K 0.190 7.759 2.851
K 3.885 3.583 2.879
K 7.960 0.592 8.609
K 4.265 4.768 8.582
CELL_PARAMETERS angstrom
8.101 0.000 -0.015
0.000 8.351 0.000
0.049 0.000 11.476
```

Values from the calculation:
uncorrected energy	-53.986	eV for the cell shown
formation energy without anion corrections	-0.74	eV per atom
total magnetization	0.00	μB per atom
SG	P2_1/c, No. 14

=====

2.
MnSi4Tc | PBE | relaxed Values from VASP.

```
&SYSTEM
  ibrav = 0, nat = 6, ntyp = 3
/
ATOMIC_SPECIES
Si 28.09 Si.upf
Tc 98.00 Tc.upf
Mn 54.94 Mn.upf
ATOMIC_POSITIONS angstrom
Si 4.626 -4.593 -0.452
Si 2.860 -5.617 -1.722
Si 2.396 -3.701 -0.347
Si 2.892 -5.821 0.673
Tc 4.790 -7.400 -0.693
Mn 0.000 0.000 0.000
CELL_PARAMETERS angstrom
4.464 -1.786 -0.211
0.993 -4.244 2.041
0.929 -3.836 -2.754
```

Values from the calculation:
uncorrected energy	-39.045	eV for the cell shown
formation energy without anion corrections	0.36	eV per atom
total magnetization	0.53	μB per atom
SG	F-43m, No. 216

=====

3.
CaMnP2 | PBE | relaxed Values from VASP.

```
&SYSTEM
  ibrav = 0, nat = 4, ntyp = 3
/
ATOMIC_SPECIES
P 30.97 P.upf
Mn 54.94 Mn.upf
Ca 40.08 Ca.upf
ATOMIC_POSITIONS angstrom
P 1.554 1.554 1.285
P 0.000 0.000 6.308
Mn 1.554 1.554 5.554
Ca 0.000 0.000 3.198
CELL_PARAMETERS angstrom
3.107 0.000 0.000
0.000 3.107 0.000
0.000 0.000 6.538
```

Values from the calculation:
uncorrected energy	-22.623	eV for the cell shown
total magnetization	0.01	μB per atom
SG	P4mm, No. 99
E above lowest polymorph	598	meV per atom

=====

4.
PmZrSc2 | PBE | relaxed Values from VASP.

```
&SYSTEM
  ibrav = 0, nat = 4, ntyp = 3
/
ATOMIC_SPECIES
Pm 145.00 Pm.upf
Sc 44.96 Sc.upf
Zr 91.22 Zr.upf
ATOMIC_POSITIONS angstrom
Pm 1.909 1.909 0.000
Sc 0.000 0.000 2.048
Sc 0.000 0.000 5.180
Zr 1.909 1.909 3.614
CELL_PARAMETERS angstrom
3.817 0.000 0.000
0.000 3.817 0.000
0.000 0.000 7.228
```

Values from the calculation:
uncorrected energy	-25.574	eV for the cell shown
total magnetization	0.00	μB per atom
SG	P4/mmm, No. 123
E above lowest polymorph	66	meV per atom

=====

5.
Tl2Te4Pt3 | PBE | relaxed Values from VASP.

```
&SYSTEM
  ibrav = 0, nat = 18, ntyp = 3
/
ATOMIC_SPECIES
Pt 195.08 Pt.upf
Te 127.60 Te.upf
Tl 204.38 Tl.upf
ATOMIC_POSITIONS angstrom
Pt 2.533 4.363 1.761
Pt 2.010 2.157 3.447
Pt 6.029 6.471 10.341
Pt 6.553 8.677 8.655
Pt 5.506 4.264 12.027
Pt 1.486 -0.049 5.133
Te 2.660 6.566 7.186
Te 0.955 2.252 1.011
Te 3.559 4.142 4.293
Te 3.765 0.172 3.627
Te 4.481 4.485 9.495
Te 7.085 6.375 12.777
Te 5.379 2.061 6.601
Te 4.274 8.456 10.161
Tl 1.962 3.009 7.348
Tl 4.280 0.942 9.800
Tl 3.759 7.686 3.988
Tl 6.078 5.618 6.440
CELL_PARAMETERS angstrom
5.619 0.000 1.745
2.320 8.990 2.448
0.101 -0.363 9.595
```

Values from the calculation:
uncorrected energy	-73.849	eV for the cell shown
formation energy without anion corrections	-0.17	eV per atom
total magnetization	0.00	μB per atom
SG	Ibam, No. 72

=====

6.
LiMnBr2 | PBE | relaxed Values from VASP.

```
&SYSTEM
  ibrav = 0, nat = 4, ntyp = 3
/
ATOMIC_SPECIES
Br 79.90 Br.upf
Mn 54.94 Mn.upf
Li 6.94 Li.upf
ATOMIC_POSITIONS angstrom
Br 0.792 0.209 0.126
Br 4.617 1.217 0.735
Mn 16.933 4.464 2.697
Li 11.566 3.049 1.842
CELL_PARAMETERS angstrom
8.221 0.080 0.048
7.192 3.983 0.048
7.192 1.896 3.504
```

Values from the calculation:
uncorrected energy	-16.564	eV for the cell shown
formation energy without anion corrections	-0.53	eV per atom
total magnetization	1.06	μB per atom
SG	R3m, No. 160
E above lowest polymorph	116	meV per atom

=====

7.
BaNi2 | PBE | relaxed Values from VASP.

```
&SYSTEM
  ibrav = 0, nat = 6, ntyp = 2
/
ATOMIC_SPECIES
Ni 58.69 Ni.upf
Ba 137.33 Ba.upf
ATOMIC_POSITIONS angstrom
Ni -2.058 -2.423 -0.018
Ni -4.065 -3.009 1.148
Ni -6.883 -2.010 4.000
Ni -4.876 -1.424 2.833
Ba 0.000 0.000 0.000
Ba -1.755 -1.876 3.235
CELL_PARAMETERS angstrom
-4.573 -0.878 6.087
-7.186 -2.556 0.746
6.942 -1.158 -3.033
```

Values from the calculation:
uncorrected energy	-26.065	eV for the cell shown
total magnetization	0.18	μB per atom
SG	I4_1/amd, No. 141

=====

8.
La2CuRu | PBE | relaxed Values from VASP.

```
&SYSTEM
  ibrav = 0, nat = 4, ntyp = 3
/
ATOMIC_SPECIES
La 138.91 La.upf
Ru 101.07 Ru.upf
Cu 63.55 Cu.upf
ATOMIC_POSITIONS angstrom
La 3.043 0.901 1.161
La 1.705 0.505 4.124
Ru 6.200 1.836 2.285
Cu 10.407 3.083 2.960
CELL_PARAMETERS angstrom
6.323 -0.050 0.032
5.276 3.486 0.032
1.583 0.469 4.173
```

Values from the calculation:
uncorrected energy	-23.530	eV for the cell shown
total magnetization	0.00	μB per atom
SG	Cm, No. 8

=====

9.
Dy2Y6Tl | PBE | relaxed Values from VASP.

```
&SYSTEM
  ibrav = 0, nat = 9, ntyp = 3
/
ATOMIC_SPECIES
Dy 162.50 Dy.upf
Y 88.91 Y.upf
Tl 204.38 Tl.upf
ATOMIC_POSITIONS angstrom
Dy 0.000 5.431 0.501
Dy 0.000 2.280 4.952
Y 0.000 8.338 -1.322
Y 1.823 -0.540 5.842
Y 0.000 5.555 3.929
Y 0.000 2.401 -1.106
Y 1.823 5.331 -2.455
Y 1.823 2.921 2.065
Tl 1.823 0.001 -0.001
CELL_PARAMETERS angstrom
3.647 0.000 0.000
0.000 8.582 -3.952
0.000 -0.870 9.405
```

Values from the calculation:
uncorrected energy	-51.298	eV for the cell shown
total magnetization	0.00	μB per atom
SG	P-62m, No. 189
E above lowest polymorph	0	meV per atom

=====

10.
Ce2ErTm3Bi6 | PBE | relaxed Values from VASP.

```
&SYSTEM
  ibrav = 0, nat = 12, ntyp = 4
/
ATOMIC_SPECIES
Tm 168.93 Tm.upf
Bi 208.98 Bi.upf
Er 167.26 Er.upf
Ce 140.12 Ce.upf
ATOMIC_POSITIONS angstrom
Tm 5.163 0.014 3.664
Tm 1.297 2.246 3.664
Tm -2.569 4.479 3.664
Bi 0.036 4.496 5.451
Bi 3.876 2.279 5.451
Bi 2.558 -0.004 1.877
Bi 2.617 4.530 1.898
Bi -1.282 2.214 1.877
Bi -0.022 -0.038 5.430
Er 0.000 0.000 0.000
Ce 3.885 2.252 0.000
Ce 0.009 4.491 0.000
CELL_PARAMETERS angstrom
7.788 -0.002 0.000
-3.894 6.745 0.000
-1.300 -2.251 7.328
```

Values from the calculation:
uncorrected energy	-62.599	eV for the cell shown
total magnetization	0.14	μB per atom
SG	C2/m, No. 12

=====

11.
LaV3Tc | PBE | relaxed Values from VASP.

```
&SYSTEM
  ibrav = 0, nat = 5, ntyp = 3
/
ATOMIC_SPECIES
V 50.94 V.upf
La 138.91 La.upf
Tc 98.00 Tc.upf
ATOMIC_POSITIONS angstrom
V 1.834 -0.997 1.119
V -1.497 -1.287 1.309
V -0.057 1.721 1.626
La 0.280 -0.562 4.054
Tc 0.000 0.000 0.000
CELL_PARAMETERS angstrom
-0.114 3.442 3.253
-2.994 -2.573 2.617
3.668 -1.993 2.238
```

Values from the calculation:
uncorrected energy	-39.734	eV for the cell shown
total magnetization	1.02	μB per atom
SG	Pm-3m, No. 221
E above lowest polymorph	0	meV per atom

=====

12.
CoAgSe | PBE | relaxed Values from VASP.

```
&SYSTEM
  ibrav = 0, nat = 6, ntyp = 3
/
ATOMIC_SPECIES
Se 78.96 Se.upf
Co 58.93 Co.upf
Ag 107.87 Ag.upf
ATOMIC_POSITIONS angstrom
Se 0.000 0.000 2.968
Se 1.760 1.811 5.937
Co 1.760 0.000 4.484
Co 0.000 1.811 4.421
Ag 0.000 0.000 8.298
Ag 1.760 1.811 0.607
CELL_PARAMETERS angstrom
3.520 0.000 0.000
0.000 3.622 0.000
0.000 0.000 8.905
```

Values from the calculation:
uncorrected energy	-26.815	eV for the cell shown
formation energy without anion corrections	0.01	eV per atom
total magnetization	0.00	μB per atom
SG	Pmmn, No. 59
E above lowest polymorph	0	meV per atom

=====

13.
TaFe2Ir | PBE | relaxed Values from VASP.

```
&SYSTEM
  ibrav = 0, nat = 8, ntyp = 3
/
ATOMIC_SPECIES
Ta 180.95 Ta.upf
Fe 55.84 Fe.upf
Ir 192.22 Ir.upf
ATOMIC_POSITIONS angstrom
Ta -3.191 1.464 5.093
Ta -2.103 1.471 0.213
Fe -2.103 2.677 7.209
Fe -4.261 4.138 7.431
Fe -2.475 0.545 2.690
Fe -1.048 2.708 2.332
Ir -1.753 3.570 4.738
Ir 0.000 0.000 0.000
CELL_PARAMETERS angstrom
-0.665 3.578 -0.143
-3.541 -0.635 0.568
-0.738 2.091 9.405
```

Values from the calculation:
uncorrected energy	-72.880	eV for the cell shown
total magnetization	1.18	μB per atom
SG	I-42d, No. 122
E above lowest polymorph	572	meV per atom

=====

14.
Cr2CdSn2 | PBE | relaxed Values from VASP.

```
&SYSTEM
  ibrav = 0, nat = 10, ntyp = 3
/
ATOMIC_SPECIES
Cd 112.41 Cd.upf
Sn 118.71 Sn.upf
Cr 52.00 Cr.upf
ATOMIC_POSITIONS angstrom
Cd -4.624 0.153 2.598
Cd 0.000 0.000 0.000
Sn -6.188 -0.634 5.278
Sn -3.363 -2.645 3.510
Sn -4.294 2.683 4.532
Sn -1.469 0.672 2.764
Cr -2.412 -1.452 1.211
Cr -3.113 2.752 1.998
Cr -6.134 -2.445 3.197
Cr -6.835 1.759 3.984
CELL_PARAMETERS angstrom
-4.277 5.439 2.902
-4.970 -5.132 2.293
1.591 -0.268 2.847
```

Values from the calculation:
uncorrected energy	-52.343	eV for the cell shown
total magnetization	0.17	μB per atom
SG	P4/mbm, No. 127

=====

15.
PrCu9Sn2 | PBE | relaxed Values from VASP.

```
&SYSTEM
  ibrav = 0, nat = 24, ntyp = 3
/
ATOMIC_SPECIES
Cu 63.55 Cu.upf
Pr 140.91 Pr.upf
Sn 118.71 Sn.upf
ATOMIC_POSITIONS angstrom
Cu 2.516 0.567 1.754
Cu 1.243 5.747 7.077
Cu 2.516 0.000 4.275
Cu 2.516 2.521 3.708
Cu 3.789 7.077 2.802
Cu 3.789 2.802 1.472
Cu 2.516 6.029 4.841
Cu 1.243 1.472 5.747
Cu 1.243 2.802 1.472
Cu 2.516 4.841 2.521
Cu 3.789 1.472 5.747
Cu 2.516 7.983 6.795
Cu 2.516 3.708 6.029
Cu 2.516 4.275 0.000
Cu 2.516 6.795 0.567
Cu 2.516 1.754 7.983
Cu 3.789 5.747 7.077
Cu 1.243 7.077 2.802
Pr 0.000 4.275 4.275
Pr 0.000 0.000 0.000
Sn 0.000 3.170 7.445
Sn 0.000 1.105 3.170
Sn 0.000 5.379 1.105
Sn 0.000 7.445 5.379
CELL_PARAMETERS angstrom
5.032 0.000 0.000
0.000 8.549 0.000
0.000 0.000 8.549
```

Values from the calculation:
uncorrected energy	-102.978	eV for the cell shown
total magnetization	0.00	μB per atom
SG	P4/mbm, No. 127
E above lowest polymorph	0	meV per atom

=====

16.
LaPuC2 | PBE | relaxed Values from VASP.

```
&SYSTEM
  ibrav = 0, nat = 4, ntyp = 3
/
ATOMIC_SPECIES
C 12.01 C.upf
Pu 244.00 Pu.upf
La 138.91 La.upf
ATOMIC_POSITIONS angstrom
C -1.288 -0.042 0.886
C -1.813 1.990 4.408
Pu 0.542 -1.710 0.173
La 0.223 0.535 3.166
CELL_PARAMETERS angstrom
-3.547 0.877 -1.036
1.085 -3.420 0.347
-0.639 4.491 5.984
```

Values from the calculation:
uncorrected energy	-37.093	eV for the cell shown
total magnetization	0.91	μB per atom
SG	C2/m, No. 12

=====

17.
Ho3Si2Pt6 | PBE | relaxed Values from VASP.

```
&SYSTEM
  ibrav = 0, nat = 22, ntyp = 3
/
ATOMIC_SPECIES
Ho 164.93 Ho.upf
Si 28.09 Si.upf
Pt 195.08 Pt.upf
ATOMIC_POSITIONS angstrom
Ho -2.718 4.708 3.844
Ho 2.718 4.708 -3.844
Ho 2.219 0.000 1.569
Ho 5.436 0.000 3.844
Ho -1.110 1.922 1.569
Ho 1.110 1.922 -1.569
Si -1.914 3.315 -1.353
Si 0.000 0.000 4.060
Si 3.828 0.000 -1.353
Si 1.914 3.315 1.353
Pt 1.222 2.117 3.457
Pt 0.000 4.233 0.000
Pt 3.828 2.396 2.707
Pt -1.222 2.117 4.663
Pt 2.606 4.513 -0.750
Pt -0.162 4.513 -2.707
Pt 2.444 0.000 4.663
Pt 0.162 4.513 2.707
Pt 5.211 0.000 0.750
Pt -2.606 4.513 0.750
Pt 3.666 2.117 0.000
Pt 3.989 2.117 -2.707
CELL_PARAMETERS angstrom
7.656 0.000 -2.707
-3.828 6.630 -2.707
0.000 0.000 8.120
```

Values from the calculation:
uncorrected energy	-144.930	eV for the cell shown
formation energy without anion corrections	-1.06	eV per atom
total magnetization	0.00	μB per atom
SG	Im-3m, No. 229

=====

18.
Ce5AlIr5 | PBE | relaxed Values from VASP.

```
&SYSTEM
  ibrav = 0, nat = 11, ntyp = 3
/
ATOMIC_SPECIES
Al 26.98 Al.upf
Ce 140.12 Ce.upf
Ir 192.22 Ir.upf
ATOMIC_POSITIONS angstrom
Al 0.000 0.000 0.000
Ce 0.000 -1.302 4.078
Ce 0.000 3.478 1.032
Ce 0.000 2.128 5.300
Ce 2.719 -0.092 6.810
Ce 2.719 1.258 2.542
Ir 2.719 0.000 0.000
Ir 0.000 -0.566 6.624
Ir 2.719 2.518 5.379
Ir 2.719 3.953 1.218
Ir 0.000 0.869 2.464
CELL_PARAMETERS angstrom
5.438 0.000 0.000
-2.719 5.991 -0.313
0.000 -2.604 8.155
```

Values from the calculation:
uncorrected energy	-84.097	eV for the cell shown
total magnetization	0.12	μB per atom
SG	C2/m, No. 12

=====

19.
Pd3PtAu4 | PBE | relaxed Values from VASP.

```
&SYSTEM
  ibrav = 0, nat = 8, ntyp = 3
/
ATOMIC_SPECIES
Pt 195.08 Pt.upf
Au 196.97 Au.upf
Pd 106.42 Pd.upf
ATOMIC_POSITIONS angstrom
Pt 2.019 0.000 0.000
Au 2.019 2.531 1.366
Au 0.000 0.589 1.955
Au 2.019 -0.183 6.426
Au 0.000 -2.124 7.014
Pd 0.000 1.942 -0.589
Pd 0.000 -0.766 4.487
Pd 2.019 1.173 3.893
CELL_PARAMETERS angstrom
4.037 0.000 0.000
0.000 3.884 -1.177
-2.019 -3.477 9.558
```

Values from the calculation:
uncorrected energy	-35.003	eV for the cell shown
total magnetization	0.00	μB per atom
SG	C2/m, No. 12
E above lowest polymorph	0	meV per atom

=====

20.
InTc2Os | PBE | relaxed Values from VASP.

```
&SYSTEM
  ibrav = 0, nat = 4, ntyp = 3
/
ATOMIC_SPECIES
Tc 98.00 Tc.upf
Os 190.23 Os.upf
In 114.82 In.upf
ATOMIC_POSITIONS angstrom
Tc 0.000 0.000 0.000
Tc -0.976 -1.014 2.478
Os -2.523 0.777 1.073
In -3.443 -1.904 1.363
CELL_PARAMETERS angstrom
-4.989 -0.113 -0.042
-1.896 -3.695 2.767
3.386 3.572 0.826
```

Values from the calculation:
uncorrected energy	-33.053	eV for the cell shown
total magnetization	0.00	μB per atom
SG	I-4m2, No. 119